1.
AcAgSe2 after structural relaxation, computed with PBE.

a = 3.798 Å, b = 3.798 Å, c = 7.305 Å
α = 90.00°, β = 90.00°, γ = 90.00°
Atoms (fractional coordinates):
1 Ac 0.500 0.500 0.500
2 Se 0.000 0.000 0.749
3 Se 0.000 0.000 0.251
4 Ag 0.500 0.500 0.000

Properties
SG: P4/mmm, No. 123
Calculated density: 7.76 g cm⁻³
Energy relative to the elements, uncorrected: -3.65 eV/f.u.
Total moment: 0.000 μB/cell

2.
Zr2Ga3Cu after structural relaxation, computed with PBE.

a = 5.408 Å, b = 5.408 Å, c = 6.598 Å
α = 52.57°, β = 52.57°, γ = 45.29°
Atoms (fractional coordinates):
1 Zr 0.541 0.541 0.201
2 Zr 0.455 0.455 0.792
3 Ga 0.851 0.851 0.614
4 Ga 0.826 0.826 0.207
5 Ga 0.160 0.160 0.796
6 Cu 0.166 0.166 0.389

Properties
Formation enthalpy at 0 K: -0.53 eV per atom
SG: Cm, No. 8
Calculated density: 7.32 g cm⁻³
Total moment: 0.000 μB/cell